Record 1
First-principles (PBE) data for a relaxed TbPaFe crystal, as listed in the Alexandria database.

Properties
Energy relative to the lowest polymorph listed for this composition (eV per atom): 0.034
DOS at the Fermi energy (states/eV/f.u.): 3.883
ΔE_f (eV/atom): -0.039
Crystal system: tetragonal

Structure (extended XYZ):
```
3
Lattice="3.387 0.000 0.000 0.000 3.387 0.000 -1.694 -1.694 5.558" Properties=species:S:1:pos:R:3 pbc="T T T"
Pa 0.000 0.000 3.292
Fe 1.694 1.694 2.229
Tb 0.000 0.000 0.037
```

***

Record 2
First-principles (PBE) data for a relaxed TbPaFe2 crystal, as listed in the Alexandria database.

Properties
Energy relative to the lowest polymorph listed for this composition (eV per atom): 0.216
DOS at the Fermi energy (states/eV/f.u.): 4.343
ΔE_f (eV/atom): 0.164
Crystal system: trigonal

Structure (extended XYZ):
```
4
Lattice="3.475 0.000 0.000 1.738 3.010 0.000 1.738 1.003 7.424" Properties=species:S:1:pos:R:3 pbc="T T T"
Fe 5.213 3.010 5.796
Fe 1.738 1.003 1.629
Pa 0.000 0.000 0.000
Tb 3.475 2.006 3.712
```

***

Record 3
First-principles (PBE) data for a relaxed Tb2PaFe crystal, as listed in the Alexandria database.

Properties
DOS at the Fermi energy (states/eV/f.u.): 5.452
ΔE_f (eV/atom): 0.446
Crystal system: trigonal

Structure (extended XYZ):
```
4
Lattice="-1.934 2.619 0.286 -3.087 -0.124 -1.067 -4.814 -2.523 9.217" Properties=species:S:1:pos:R:3 pbc="T T T"
Fe -4.917 -0.014 4.218
Tb -5.993 1.456 2.156
Tb -3.841 -1.484 6.281
Pa 0.000 0.000 0.000
```

***

Record 4
First-principles (PBE) data for a relaxed TbPaFe crystal, as listed in the Alexandria database.

Properties
Energy relative to the lowest polymorph listed for this composition (eV per atom): 0.096
DOS at the Fermi energy (states/eV/f.u.): 4.024
ΔE_f (eV/atom): 0.024
Crystal system: trigonal

Structure (extended XYZ):
```
3
Lattice="-0.331 1.404 -3.356 1.514 -3.292 0.461 -5.519 -2.615 -0.549" Properties=species:S:1:pos:R:3 pbc="T T T"
Fe -2.586 -3.378 -1.157
Tb -5.198 -2.463 -0.517
Pa -2.072 -1.278 -2.318
```

***

Record 5
First-principles (PBE) data for a relaxed TbPaFe crystal, as listed in the Alexandria database.

Properties
Energy relative to the lowest polymorph listed for this composition (eV per atom): 0.000
DOS at the Fermi energy (states/eV/f.u.): 3.841
ΔE_f (eV/atom): -0.072
Crystal system: monoclinic

Structure (extended XYZ):
```
12
Lattice="-6.487 -1.099 0.440 0.817 -5.714 -2.229 0.952 -3.316 5.741" Properties=species:S:1:pos:R:3 pbc="T T T"
Fe 1.466 -7.773 3.710
Fe -2.054 -6.630 1.046
Fe -6.184 -2.356 0.243
Fe -2.664 -3.498 2.907
Tb -3.218 -6.255 3.962
Tb -0.095 -5.374 2.799
Tb -4.623 -4.755 1.154
Tb -1.500 -3.874 -0.009
Pa -3.398 -7.099 -0.777
Pa -1.320 -3.029 4.730
Pa -3.849 -8.914 2.156
Pa -0.869 -1.214 1.797
```

***

Record 6
First-principles (PBE) data for a relaxed TbPaFe2 crystal, as listed in the Alexandria database.

Properties
Energy relative to the lowest polymorph listed for this composition (eV per atom): 0.142
DOS at the Fermi energy (states/eV/f.u.): 4.139
ΔE_f (eV/atom): 0.090
Crystal system: cubic

Structure (extended XYZ):
```
4
Lattice="4.719 0.000 0.000 2.360 4.087 0.000 2.360 1.362 3.853" Properties=species:S:1:pos:R:3 pbc="T T T"
Fe 2.360 1.362 0.963
Fe 7.079 4.087 2.890
Pa 0.000 0.000 0.000
Tb 4.719 2.725 1.927
```

***

Record 7
First-principles (PBE) data for a relaxed TbPa2Fe crystal, as listed in the Alexandria database.

Properties
Energy relative to the lowest polymorph listed for this composition (eV per atom): 0.043
DOS at the Fermi energy (states/eV/f.u.): 7.109
ΔE_f (eV/atom): 0.086
Crystal system: tetragonal

Structure (extended XYZ):
```
4
Lattice="-0.213 0.362 3.388 3.116 -1.354 0.341 3.224 7.275 -0.575" Properties=species:S:1:pos:R:3 pbc="T T T"
Pa 2.648 5.976 -0.473
Pa 0.576 1.299 -0.103
Fe 1.451 -0.496 1.864
Tb 3.063 3.142 1.577
```

***

Record 8
First-principles (PBE) data for a relaxed Tb2PaFe9 crystal, as listed in the Alexandria database.

Properties
DOS at the Fermi energy (states/eV/f.u.): 13.741
ΔE_f (eV/atom): -0.060
Crystal system: trigonal

Structure (extended XYZ):
```
12
Lattice="4.821 0.000 1.435 2.197 4.291 1.435 0.013 0.008 8.774" Properties=species:S:1:pos:R:3 pbc="T T T"
Fe 5.345 1.799 4.067
Fe 3.515 2.149 5.822
Fe 2.333 1.426 0.978
Fe 1.686 2.499 7.576
Fe 4.698 2.872 10.665
Fe 4.037 3.937 4.067
Fe 2.943 1.799 3.352
Fe 4.088 2.499 8.291
Fe 2.993 0.361 7.576
Tb 6.028 3.686 6.193
Tb 1.002 0.613 5.450
Pa 0.000 0.000 0.000
```

***

Record 9
First-principles (PBE) data for a relaxed PaFeTc crystal, as listed in the Alexandria database.

Properties
Energy relative to the lowest polymorph listed for this composition (eV per atom): 0.230
DOS at the Fermi energy (states/eV/f.u.): 4.439
ΔE_f (eV/atom): 0.041
Crystal system: trigonal

Structure (extended XYZ):
```
3
Lattice="3.876 0.000 0.000 -1.938 3.357 0.000 0.000 0.000 4.207" Properties=species:S:1:pos:R:3 pbc="T T T"
Fe 1.938 1.119 1.027
Tc 0.000 0.000 0.398
Pa 0.000 2.238 2.782
```

***

Record 10
First-principles (PBE) data for a relaxed PaFeTc crystal, as listed in the Alexandria database.

Properties
Energy relative to the lowest polymorph listed for this composition (eV per atom): 0.258
DOS at the Fermi energy (states/eV/f.u.): 2.681
ΔE_f (eV/atom): 0.068
Crystal system: tetragonal

Structure (extended XYZ):
```
6
Lattice="-0.606 -2.738 1.842 0.816 -1.939 -2.614 8.589 -0.066 2.729" Properties=species:S:1:pos:R:3 pbc="T T T"
Tc 5.391 -1.008 0.276
Tc 3.303 -1.397 2.067
Fe 0.659 -1.376 1.227
Fe 8.035 -1.028 1.116
Pa 2.251 -0.984 -0.721
Pa 6.443 -1.421 3.064
```

***

Record 11
First-principles (PBE) data for a relaxed PaFeTc2 crystal, as listed in the Alexandria database.

Properties
Energy relative to the lowest polymorph listed for this composition (eV per atom): 0.776
DOS at the Fermi energy (states/eV/f.u.): 7.207
ΔE_f (eV/atom): 0.770
Crystal system: trigonal

Structure (extended XYZ):
```
4
Lattice="-2.273 -1.165 -1.176 -1.591 -1.784 1.481 -6.914 6.724 3.342" Properties=species:S:1:pos:R:3 pbc="T T T"
Tc -5.608 4.935 2.590
Tc -5.171 -1.160 1.057
Pa -5.389 1.887 1.823
Fe 0.000 0.000 0.000
```

***

Record 12
First-principles (PBE) data for a relaxed PaFeTc crystal, as listed in the Alexandria database.

Properties
Energy relative to the lowest polymorph listed for this composition (eV per atom): 0.082
DOS at the Fermi energy (states/eV/f.u.): 2.962
ΔE_f (eV/atom): -0.108
Crystal system: orthorhombic

Structure (extended XYZ):
```
6
Lattice="4.657 0.000 0.000 0.000 5.249 0.000 -2.329 0.000 4.335" Properties=species:S:1:pos:R:3 pbc="T T T"
Pa 1.164 1.312 0.118
Pa 1.164 3.937 4.216
Fe -1.164 2.625 2.167
Fe -1.164 0.000 2.167
Tc 1.164 1.312 2.541
Tc 1.164 3.937 1.794
```

***

Record 13
First-principles (PBE) data for a relaxed PaFeTc2 crystal, as listed in the Alexandria database.

Properties
Energy relative to the lowest polymorph listed for this composition (eV per atom): 0.028
DOS at the Fermi energy (states/eV/f.u.): 3.940
ΔE_f (eV/atom): 0.021
Crystal system: cubic

Structure (extended XYZ):
```
4
Lattice="-1.558 -0.460 -4.248 -1.416 -4.062 -1.476 -4.428 -0.737 -0.731" Properties=species:S:1:pos:R:3 pbc="T T T"
Pa 0.000 0.000 0.000
Fe -3.701 -2.629 -3.227
Tc -5.552 -3.944 -4.841
Tc -1.851 -1.315 -1.614
```

***

Record 14
First-principles (PBE) data for a relaxed PaFe4Tc crystal, as listed in the Alexandria database.

Properties
DOS at the Fermi energy (states/eV/f.u.): 10.191
ΔE_f (eV/atom): 0.021
Crystal system: cubic

Structure (extended XYZ):
```
6
Lattice="4.927 0.000 0.000 2.463 4.267 0.000 2.463 1.422 4.023" Properties=species:S:1:pos:R:3 pbc="T T T"
Pa 0.000 0.000 0.000
Fe 4.927 1.434 2.510
Fe 4.927 2.844 0.516
Fe 3.706 3.549 2.510
Fe 6.148 3.549 2.510
Tc 2.463 1.422 1.006
```

***

Record 15
First-principles (PBE) data for a relaxed PaFeTc crystal, as listed in the Alexandria database.

Properties
Energy relative to the lowest polymorph listed for this composition (eV per atom): 0.000
DOS at the Fermi energy (states/eV/f.u.): 4.162
ΔE_f (eV/atom): -0.190
Crystal system: orthorhombic

Structure (extended XYZ):
```
6
Lattice="4.097 0.000 2.300 1.387 4.550 2.328 -0.275 0.004 5.289" Properties=species:S:1:pos:R:3 pbc="T T T"
Fe 0.000 0.000 0.000
Fe 2.048 0.000 1.150
Pa 1.203 2.852 5.054
Pa 4.005 1.702 4.862
Tc 1.911 0.002 3.794
Tc 2.742 2.275 2.314
```

***

Record 16
First-principles (PBE) data for a relaxed PaFeTc crystal, as listed in the Alexandria database.

Properties
Energy relative to the lowest polymorph listed for this composition (eV per atom): 0.264
DOS at the Fermi energy (states/eV/f.u.): 1.411
ΔE_f (eV/atom): 0.075
Crystal system: tetragonal

Structure (extended XYZ):
```
3
Lattice="-0.624 -1.154 2.584 2.769 0.299 0.802 -2.259 5.782 0.411" Properties=species:S:1:pos:R:3 pbc="T T T"
Tc -0.053 4.650 3.689
Fe -0.839 3.787 1.488
Pa 0.664 1.415 2.418
```

***

Record 17
First-principles (PBE) data for a relaxed PaFeTc2 crystal, as listed in the Alexandria database.

Properties
Energy relative to the lowest polymorph listed for this composition (eV per atom): 0.157
DOS at the Fermi energy (states/eV/f.u.): 5.707
ΔE_f (eV/atom): 0.151
Crystal system: tetragonal

Structure (extended XYZ):
```
4
Lattice="-0.044 -1.973 -2.689 3.058 -1.098 0.755 -2.401 -4.426 3.287" Properties=species:S:1:pos:R:3 pbc="T T T"
Fe 0.306 -3.749 0.677
Tc -0.627 -1.157 0.859
Tc -1.774 -3.270 2.428
Pa 1.507 -1.536 -0.967
```

***

Record 18
First-principles (PBE) data for a relaxed PaFeTc2 crystal, as listed in the Alexandria database.

Properties
Energy relative to the lowest polymorph listed for this composition (eV per atom): 0.000
DOS at the Fermi energy (states/eV/f.u.): 4.281
ΔE_f (eV/atom): -0.006
Crystal system: tetragonal

Structure (extended XYZ):
```
4
Lattice="3.402 0.000 0.000 0.000 4.439 0.000 0.000 0.000 4.439" Properties=species:S:1:pos:R:3 pbc="T T T"
Tc 0.000 0.000 2.219
Tc 0.000 2.219 0.000
Pa 1.701 2.219 2.219
Fe 1.701 0.000 0.000
```

***

Record 19
First-principles (PBE) data for a relaxed Pa2Fe9Tc crystal, as listed in the Alexandria database.

Properties
DOS at the Fermi energy (states/eV/f.u.): 13.199
ΔE_f (eV/atom): 0.070
Crystal system: trigonal

Structure (extended XYZ):
```
12
Lattice="-4.684 -0.665 0.286 -1.716 -3.975 1.927 -2.195 2.068 8.140" Properties=species:S:1:pos:R:3 pbc="T T T"
Tc 0.000 0.000 0.000
Pa -6.425 -3.107 5.353
Pa -2.169 0.534 5.000
Fe -4.297 -1.286 5.176
Fe -4.523 0.897 6.559
Fe -4.266 -3.091 1.481
Fe -4.328 0.519 8.872
Fe -3.036 -0.762 7.382
Fe -5.382 -1.095 7.525
Fe -3.212 -1.478 2.828
Fe -4.071 -3.469 3.794
Fe -5.558 -1.811 2.971
```

***

Record 20
First-principles (PBE) data for a relaxed Pa2Fe3Tc crystal, as listed in the Alexandria database.

Properties
DOS at the Fermi energy (states/eV/f.u.): 7.439
ΔE_f (eV/atom): -0.157
Crystal system: trigonal

Structure (extended XYZ):
```
6
Lattice="4.672 -0.143 -2.462 -2.969 4.363 -0.218 -0.389 -0.018 4.929" Properties=species:S:1:pos:R:3 pbc="T T T"
Tc 0.000 0.000 0.000
Fe 2.141 -0.080 1.233
Fe -0.194 -0.009 2.464
Fe 0.657 2.101 1.124
Pa 2.335 1.522 -1.324
Pa -1.021 2.680 3.573
```

***

Record 21
First-principles (PBE) data for a relaxed ThPaFeTc crystal, as listed in the Alexandria database.

Properties
DOS at the Fermi energy (states/eV/f.u.): 4.191
ΔE_f (eV/atom): 0.046
Crystal system: cubic

Structure (extended XYZ):
```
4
Lattice="4.896 0.000 0.000 2.448 4.240 0.000 2.448 1.413 3.998" Properties=species:S:1:pos:R:3 pbc="T T T"
Fe 0.000 0.000 0.000
Th 2.448 1.413 0.999
Pa 7.345 4.240 2.998
Tc 4.896 2.827 1.999
```

***

Record 22
First-principles (PBE) data for a relaxed PaTiFeTc crystal, as listed in the Alexandria database.

Properties
DOS at the Fermi energy (states/eV/f.u.): 4.154
ΔE_f (eV/atom): -0.189
Crystal system: cubic

Structure (extended XYZ):
```
4
Lattice="4.566 0.000 0.000 2.283 3.955 0.000 2.283 1.318 3.728" Properties=species:S:1:pos:R:3 pbc="T T T"
Ti 4.566 2.636 1.864
Pa 0.000 0.000 0.000
Tc 6.850 3.955 2.796
Fe 2.283 1.318 0.932
```

***

Record 23
First-principles (PBE) data for a relaxed UPaFeTc crystal, as listed in the Alexandria database.

Properties
DOS at the Fermi energy (states/eV/f.u.): 6.500
ΔE_f (eV/atom): 0.056
Crystal system: cubic

Structure (extended XYZ):
```
4
Lattice="-0.025 -3.575 3.129 -0.345 -4.487 -1.523 3.743 -2.909 0.312" Properties=species:S:1:pos:R:3 pbc="T T T"
Fe 2.530 -8.228 1.439
U 0.000 0.000 0.000
Pa 1.687 -5.486 0.959
Tc 0.843 -2.743 0.480
```

***

Record 24
First-principles (PBE) data for a relaxed PaVFeTc crystal, as listed in the Alexandria database.

Properties
DOS at the Fermi energy (states/eV/f.u.): 4.392
ΔE_f (eV/atom): 0.000
Crystal system: cubic

Structure (extended XYZ):
```
4
Lattice="4.498 0.000 0.000 2.249 3.896 0.000 2.249 1.299 3.673" Properties=species:S:1:pos:R:3 pbc="T T T"
Fe 4.498 2.597 1.836
Tc 0.000 0.000 0.000
V 6.747 3.896 2.755
Pa 2.249 1.299 0.918
```

***

Record 25
First-principles (PBE) data for a relaxed YPaFeTc crystal, as listed in the Alexandria database.

Properties
DOS at the Fermi energy (states/eV/f.u.): 3.198
ΔE_f (eV/atom): -0.005
Crystal system: cubic

Structure (extended XYZ):
```
4
Lattice="-2.389 0.684 4.099 -0.632 -3.649 3.043 2.344 -0.068 4.181" Properties=species:S:1:pos:R:3 pbc="T T T"
Tc 0.000 0.000 0.000
Pa -0.169 -0.758 2.831
Fe -0.339 -1.517 5.661
Y -0.508 -2.275 8.492
```

***

Record 26
First-principles (PBE) data for a relaxed PaZnFeTc crystal, as listed in the Alexandria database.

Properties
DOS at the Fermi energy (states/eV/f.u.): 4.661
ΔE_f (eV/atom): -0.042
Crystal system: cubic

Structure (extended XYZ):
```
4
Lattice="4.505 0.000 0.000 2.253 3.902 0.000 2.253 1.301 3.679" Properties=species:S:1:pos:R:3 pbc="T T T"
Fe 6.758 3.902 2.759
Tc 2.253 1.301 0.920
Zn 0.000 0.000 0.000
Pa 4.505 2.601 1.839
```

***

Record 27
First-principles (PBE) data for a relaxed ZrPaFeTc crystal, as listed in the Alexandria database.

Properties
DOS at the Fermi energy (states/eV/f.u.): 3.424
ΔE_f (eV/atom): -0.156
Crystal system: cubic

Structure (extended XYZ):
```
4
Lattice="-3.618 -0.806 -2.888 -0.778 -4.335 -1.639 -3.712 -2.453 1.512" Properties=species:S:1:pos:R:3 pbc="T T T"
Tc -2.027 -1.899 -0.754
Zr -4.054 -3.797 -1.508
Pa 0.000 0.000 0.000
Fe -6.081 -5.696 -2.261
```

***

Record 28
First-principles (PBE) data for a relaxed Pa3FeTe2 crystal, as listed in the Alexandria database.

Properties
DOS at the Fermi energy (states/eV/f.u.): 11.095
Formation energy without anion corrections (eV/atom): -0.52
Crystal system: monoclinic

Structure (extended XYZ):
```
12
Lattice="-5.786 2.851 3.040 -6.120 -3.780 -2.404 -2.335 -2.483 6.246" Properties=species:S:1:pos:R:3 pbc="T T T"
Te -8.679 -0.209 3.252
Te -5.562 -3.204 3.631
Te 0.000 0.000 0.000
Te -5.953 -0.465 0.318
Pa -2.986 0.133 0.462
Pa -5.360 -0.121 3.553
Pa -8.920 -1.062 0.174
Pa -8.115 0.338 6.241
Pa -8.881 -3.291 3.330
Pa -6.126 -3.751 0.642
Fe -5.415 0.249 6.186
Fe -2.706 0.118 3.100
```